[1]
CaZr4In: relaxed, PBE.

extended XYZ file:
```
6
Lattice="0.0000 4.2242 4.2242 4.2242 0.0000 4.2242 4.2242 4.2242 0.0000" Properties=species:S:1:pos:R:3 pbc="T T T"
Ca 0.0000 0.0000 0.0000
Zr 3.1551 3.1551 3.1551
Zr 5.2934 5.2934 3.1551
Zr 5.2934 3.1551 5.2934
Zr 3.1551 5.2934 5.2934
In 6.3364 6.3364 6.3364
```

Output
ΔE_f	0.208	eV per atom



[2]
Pu4BiTeSe2: relaxed, PBE.

extended XYZ file:
```
8
Lattice="7.4654 0.0000 0.0000 0.0000 4.2985 0.0000 -2.5365 0.0000 7.0789" Properties=species:S:1:pos:R:3 pbc="T T T"
Pu 1.2042 0.0000 1.5945
Pu -0.0380 2.1492 5.4607
Pu 4.9669 2.1492 1.6182
Pu 3.7247 0.0000 5.4844
Bi 2.4644 2.1492 3.5394
Te -1.2683 0.0000 3.5394
Se 0.0000 2.1492 0.0000
Se 3.7327 0.0000 0.0000
```

Output
uncorrected formation energy	-1.06	eV/atom



Taking the records one at a time from the top gives total energy values of -6.2809; -9.9784 eV per atom.